# In2Pb2I

In2Pb2I after structural relaxation (GGA-PBE, Alexandria via LeMat-Bulk).

The structure in POSCAR format:
```
In2Pb2I
1.0
-2.316 2.316 7.928
2.316 -2.316 7.928
2.316 2.316 -7.928
In Pb I
2 2 1
Direct
0.094 0.094 0.000 In
0.906 0.906 0.000 In
0.250 0.750 0.500 Pb
0.750 0.250 0.500 Pb
0.500 0.500 0.000 I
```

* energy relative to the lowest polymorph listed for this composition: 31.1 meV per atom
* symmetry: I4/mmm
* uncorrected energy: -2.892 eV/atom